{
  "formula": "Mg2HOs",
  "functional": "PBE-GGA",
  "state": "relaxed",
  "lattice": [[1.099, -3.695, 2.132], [1.445, 0.201, 4.157], [-2.532, -1.484, 3.286]],
  "species": ["Mg", "Mg", "Os", "H"],
  "frac_coords": [[0.250, 0.250, 0.250], [0.750, 0.750, 0.750], [0.500, 0.500, 0.500], [0.000, 0.000, 0.000]],
  "energy_ev_per_atom": -3.622,
  "total_magnetization_mub_per_cell": 0.9,
  "sg": "Fm-3m, No. 225"
}